Entry 1:
Here is Ce2SbI after structural relaxation from the Alexandria database. Energies are from PBE.

Calculated values
The value obtained for the density of states at the Fermi level is 14.6 states/eV/f.u. The value obtained for the energy relative to the elements, uncorrected is -946 meV per atom. Its symmetry is C2/c, No. 15.

a = 7.921 Å, b = 7.672 Å, c = 10.127 Å
α = 104.21°, β = 105.19°, γ = 109.93°
Sites, in units of the cell vectors:
Ce1 0.693 0.434 0.375
Ce2 0.430 0.172 0.875
Sb1 0.685 0.935 0.871
Ce3 0.182 0.941 0.375
I1 0.811 0.561 0.122
Sb2 0.315 0.065 0.129
Ce4 0.570 0.828 0.125
Sb3 0.061 0.811 0.622
Ce5 0.818 0.059 0.625
Ce6 0.055 0.297 0.125
I2 0.564 0.314 0.627
Sb4 0.939 0.189 0.378
Ce7 0.307 0.566 0.625
I3 0.436 0.686 0.373
Ce8 0.945 0.703 0.875
I4 0.189 0.439 0.878


Entry 2:
Here is ZrMn4Ga after structural relaxation from the Alexandria database. Energies are from PBE.

Calculated values
The value obtained for the density of states at the Fermi level is 6.8 states/eV/f.u. The formation energy is -10.9 kJ/mol of atoms. Its symmetry is F-43m, No. 216.

a = 4.831 Å, b = 4.831 Å, c = 4.831 Å
α = 60.00°, β = 60.00°, γ = 60.00°
Sites, in units of the cell vectors:
Mn1 0.121 0.626 0.626
Mn2 0.626 0.121 0.626
Ga1 0.000 0.000 0.000
Mn3 0.626 0.626 0.121
Zr1 0.250 0.250 0.250
Mn4 0.626 0.626 0.626


Entry 3:
Here is Sc2CdCu after structural relaxation from the Alexandria database. Energies are from PBE.

Calculated values
The value obtained for the density of states at the Fermi level is 4.0 states/eV/f.u. The formation energy is 12.1 kJ/mol of atoms. Its symmetry is I-42d, No. 122.

a = 7.624 Å, b = 7.624 Å, c = 6.157 Å
α = 51.75°, β = 51.75°, γ = 90.00°
Sites, in units of the cell vectors:
Cu1 0.500 0.500 0.000
Sc1 0.375 0.418 0.750
Sc2 0.168 0.625 0.250
Sc3 0.875 0.832 0.750
Cd1 0.750 0.250 0.500
Cd2 0.000 0.000 0.000
Cu2 0.250 0.750 0.500
Sc4 0.582 0.125 0.250


Q: Which formula does entry 3 have?
A: Sc2CdCu


Q: The lowest density of states at the Fermi level belongs to which entry?
A: Sc2CdCu